1.
Material: Sr2CaBiH
Method: DFT, PBE
State: optimized geometry

Cell: 5.390 5.390 5.090 Å, 90.00 90.00 90.00°
Fractional coordinates of all 5 atoms:
Sr1 0.000 0.500 0.000
Sr2 0.500 0.000 0.000
Ca1 0.000 0.000 0.500
Bi1 0.500 0.500 0.500
H1 0.000 0.000 0.000

Properties
- total moment (μB per formula unit) = 0.0

---

2.
Material: Y3GaP
Method: DFT, PBE
State: optimized geometry

Cell: 5.218 5.218 5.218 Å, 90.00 90.00 90.00°
Fractional coordinates of all 5 atoms:
Y1 0.000 0.500 0.000
Y2 0.000 0.000 0.500
Y3 0.500 0.000 0.000
P1 0.000 0.000 0.000
Ga1 0.500 0.500 0.500

Properties
- total moment (μB per formula unit) = 0.0
- E above lowest polymorph (eV/atom) = 0.000
- energy relative to the elements (kJ/mol of atoms) = -62

---

3.
Material: TaNb2Pt2
Method: DFT, PBE
State: optimized geometry

Cell: 7.907 7.907 2.815 Å, 90.00 90.00 90.00°
Fractional coordinates of all 10 atoms:
Nb1 0.173 0.673 0.500
Nb2 0.673 0.827 0.500
Nb3 0.827 0.327 0.500
Nb4 0.327 0.173 0.500
Pt1 0.375 0.875 0.000
Pt2 0.875 0.625 0.000
Pt3 0.625 0.125 0.000
Pt4 0.125 0.375 0.000
Ta1 0.000 0.000 0.000
Ta2 0.500 0.500 0.000

Properties
- total moment (μB per formula unit) = 0.0
- E above lowest polymorph (eV/atom) = 0.090
- energy relative to the elements (kJ/mol of atoms) = -33

---

4.
Material: SrNi3Ir
Method: DFT, PBE
State: optimized geometry

Cell: 4.965 5.778 6.447 Å, 116.62 90.00 90.00°
Fractional coordinates of all 10 atoms:
Sr1 0.250 0.401 0.801
Sr2 0.750 0.599 0.199
Ni1 0.250 0.808 0.616
Ni2 0.750 0.192 0.384
Ni3 0.250 0.370 0.329
Ni4 0.750 0.630 0.671
Ni5 0.250 0.959 0.329
Ni6 0.750 0.041 0.671
Ir1 0.000 0.000 0.000
Ir2 0.500 0.000 0.000

Properties
- total moment (μB per formula unit) = 0.6
- E above lowest polymorph (eV/atom) = 0.000
- energy relative to the elements (kJ/mol of atoms) = 2

---

5.
Material: LaMnPb
Method: DFT, PBE
State: optimized geometry

Cell: 3.747 4.360 5.937 Å, 90.00 118.86 90.00°
Fractional coordinates of all 3 atoms:
La1 0.000 0.000 0.000
Mn1 0.000 0.000 0.500
Pb1 0.500 0.500 0.500

Properties
- total moment (μB per formula unit) = 3.2
- energy relative to the elements (kJ/mol of atoms) = 16

---

6.
Material: Ba8Na2Hg
Method: DFT, PBE
State: optimized geometry

Cell: 6.434 8.571 11.709 Å, 107.29 105.95 90.00°
Fractional coordinates of all 11 atoms:
Ba1 0.412 0.576 0.823
Ba2 0.650 0.971 0.300
Ba3 0.796 0.697 0.593
Ba4 0.979 0.206 0.958
Ba5 0.204 0.303 0.407
Ba6 0.350 0.029 0.700
Ba7 0.588 0.424 0.177
Ba8 0.021 0.794 0.042
Na1 0.819 0.275 0.638
Na2 0.181 0.725 0.362
Hg1 0.500 0.000 0.000

Properties
- total moment (μB per formula unit) = 0.0
- E above lowest polymorph (eV/atom) = 0.014
- energy relative to the elements (kJ/mol of atoms) = -6

---

7.
Material: LiSiN
Method: DFT, PBE
State: optimized geometry

Cell: 2.833 2.833 14.132 Å, 90.00 90.00 120.00°
Fractional coordinates of all 9 atoms:
Li1 0.000 0.000 0.555
Li2 0.333 0.667 0.221
Li3 0.667 0.333 0.888
Si1 0.000 0.000 0.050
Si2 0.333 0.667 0.717
Si3 0.667 0.333 0.384
N1 0.000 0.000 0.777
N2 0.333 0.667 0.444
N3 0.667 0.333 0.110

Properties
- total moment (μB per formula unit) = 0.0
- E above lowest polymorph (eV/atom) = 0.008

---

8.
Material: SrLi2W
Method: DFT, PBE
State: optimized geometry

Cell: 6.557 6.557 6.557 Å, 154.50 129.87 57.07°
Fractional coordinates of all 4 atoms:
Li1 0.964 0.964 0.000
Li2 0.536 0.536 0.000
Sr1 0.250 0.750 0.500
W1 0.750 0.250 0.500

Properties
- total moment (μB per formula unit) = 0.3
- E above lowest polymorph (eV/atom) = 0.182
- energy relative to the elements (kJ/mol of atoms) = 88

---

| no. | calculated total energy (eV/cell) |
| --- | --- |
| 1 | -14.795 |
| 2 | -31.018 |
| 3 | -91.527 |
| 4 | -55.527 |
| 5 | -17.293 |
| 6 | -19.019 |
| 7 | -52.423 |
| 8 | -14.828 |